(1)
Below is a PBEsol-optimized structure of SnBTeCl2, with properties calculated at the SCAN level.

abc: 4.1146 5.6535 5.6535
angles: 90.00 90.00 90.00
With the nearest neighbours (Å) after each atom.
Element x y z (fractional)
1 Cl 0.0000 0.5000 0.0000  2 Te 2.83
2 Cl 0.0000 0.0000 0.5000  2 Te 2.83
3 Te 0.0000 0.0000 0.0000  2 B 2.06
4 B 0.5000 0.0000 0.0000  2 Te 2.06
5 Sn 0.5000 0.5000 0.5000  8 Cl 3.50

Calculated values
The size of the total moment is 0.000 μB per atom. As for the uncorrected formation energy: 3.9 eV/f.u. Its calculated total energy is -92.7 eV per cell. The calculation puts the density of states at the Fermi level at 3.767 states/eV/cell.

(2)
Below is a PBEsol-optimized structure of SrBCl2, with properties calculated at the SCAN level.

abc: 4.0585 4.0585 8.4017
angles: 76.02 76.02 60.00
With the nearest neighbours (Å) after each atom.
Element x y z (fractional)
1 Cl 0.8871 0.8871 0.3388  3 B 2.68, 1 Sr 2.73
2 Cl 0.1129 0.1129 0.6612  3 B 2.68, 1 Sr 2.73
3 B 0.5000 0.5000 0.5000  6 Cl 2.68
4 Sr 0.0000 0.0000 0.0000  2 Cl 2.73

Calculated values
The size of the total moment is 0.029 μB per atom. As for the uncorrected formation energy: 0.2 eV/f.u. Its calculated total energy is -45.4 eV per cell. The calculation puts the density of states at the Fermi level at 1.082 states/eV/cell.

(3)
Below is a PBEsol-optimized structure of SrBCl2, with properties calculated at the SCAN level.

abc: 4.8323 4.8323 9.2833
angles: 105.09 105.09 90.00
With the nearest neighbours (Å) after each atom.
Element x y z (fractional)
1 B 0.7500 0.2500 0.5000  4 Cl 2.69
2 B 0.5000 0.5000 0.0000  4 Cl 2.69
3 Sr 0.0000 0.0000 0.0000  4 Cl 2.82
4 Sr 0.2500 0.7500 0.5000  4 Cl 2.82
5 Cl 0.1250 0.1535 0.7500  2 B 2.69, 2 Sr 2.82
6 Cl 0.8465 0.3750 0.2500  2 B 2.69, 2 Sr 2.82
7 Cl 0.4035 0.8750 0.2500  2 B 2.69, 2 Sr 2.82
8 Cl 0.6250 0.5965 0.7500  2 B 2.69, 2 Sr 2.82

Calculated values
The size of the total moment is 0.251 μB per atom. As for the uncorrected formation energy: -1.6 eV/f.u. Its calculated total energy is -94.6 eV per cell. The calculation puts the density of states at the Fermi level at 3.062 states/eV/cell.

(4)
Below is a PBEsol-optimized structure of TcB2Cl, with properties calculated at the SCAN level.

abc: 3.9039 3.9039 3.9039
angles: 60.00 60.00 60.00
With the nearest neighbours (Å) after each atom.
Element x y z (fractional)
1 Cl 0.0000 0.0000 0.0000  8 B 2.39
2 B 0.7500 0.7500 0.7500  4 Cl 2.39, 4 Tc 2.39
3 B 0.2500 0.2500 0.2500  4 Tc 2.39, 4 Cl 2.39
4 Tc 0.5000 0.5000 0.5000  8 B 2.39

Calculated values
The size of the total moment is 0.000 μB per atom. As for the uncorrected formation energy: 8.1 eV/f.u. Its calculated total energy is -49.8 eV per cell. The calculation puts the density of states at the Fermi level at 1.941 states/eV/cell.

(5)
Below is a PBEsol-optimized structure of BTe2Cl, with properties calculated at the SCAN level.

abc: 4.7821 4.7821 4.7821
angles: 60.00 60.00 60.00
With the nearest neighbours (Å) after each atom.
Element x y z (fractional)
1 B 0.0000 0.0000 0.0000  8 Te 2.93
2 Te 0.7500 0.7500 0.7500  4 B 2.93, 4 Cl 2.93
3 Te 0.2500 0.2500 0.2500  4 Cl 2.93, 4 B 2.93
4 Cl 0.5000 0.5000 0.5000  8 Te 2.93

Calculated values
The size of the total moment is 0.000 μB per atom. As for the uncorrected formation energy: 4.4 eV/f.u. Its calculated total energy is -85.5 eV per cell. The calculation puts the density of states at the Fermi level at 1.879 states/eV/cell.

(6)
Below is a PBEsol-optimized structure of TlBCl2, with properties calculated at the SCAN level.

abc: 3.2883 3.2883 8.9737
angles: 79.44 79.44 60.00
With the nearest neighbours (Å) after each atom.
Element x y z (fractional)
1 B 0.5000 0.5000 0.5000  6 Cl 2.31
2 Cl 0.1163 0.1163 0.6510  3 B 2.31
3 Cl 0.8837 0.8837 0.3490  3 B 2.31
4 Tl 0.0000 0.0000 0.0000  2 Cl 3.06, 6 Tl 3.29

Calculated values
The size of the total moment is 0.000 μB per atom. As for the uncorrected formation energy: 1.7 eV/f.u. Its calculated total energy is -94.1 eV per cell. The calculation puts the density of states at the Fermi level at 1.990 states/eV/cell.

(7)
Below is a PBEsol-optimized structure of ZnB3Cl, with properties calculated at the SCAN level.

abc: 4.1148 4.1148 4.1148
angles: 90.00 90.00 90.00
With the nearest neighbours (Å) after each atom.
Element x y z (fractional)
1 Cl 0.5000 0.5000 0.5000  12 B 2.91
2 B 0.5000 0.0000 0.0000  2 Zn 2.06
3 B 0.0000 0.0000 0.5000  2 Zn 2.06
4 B 0.0000 0.5000 0.0000  2 Zn 2.06
5 Zn 0.0000 0.0000 0.0000  6 B 2.06

Calculated values
The size of the total moment is 0.000 μB per atom. As for the uncorrected formation energy: 9.3 eV/f.u. Its calculated total energy is -34.5 eV per cell. The calculation puts the density of states at the Fermi level at 1.904 states/eV/cell.

(8)
Below is a PBEsol-optimized structure of Co5B16, with properties calculated at the SCAN level.

abc: 2.9119 5.4051 18.8960
angles: 90.00 90.00 90.00
With the nearest neighbours (Å) after each atom.
Element x y z (fractional)
1 B 0.5000 0.4917 0.9283  4 B 1.66-1.82
2 B 0.5000 0.2927 0.0091  4 B 1.66-1.84
3 B 0.0000 0.6925 0.5684  6 B 1.82-1.87
4 B 0.5000 0.6194 0.2500  4 B 1.74-1.75
5 B 0.5000 0.6596 0.7026  4 B 1.75-1.79
6 B 0.0000 0.0133 0.6052  3 B 1.65-1.78
7 B 0.5000 0.5083 0.0717  4 B 1.66-1.82
8 B 0.5000 0.2927 0.4909  4 B 1.66-1.84
9 B 0.5000 0.7073 0.9909  4 B 1.66-1.84
10 B 0.0000 0.9867 0.3948  3 B 1.65-1.78
11 B 0.5000 0.7073 0.5091  4 B 1.66-1.84
12 B 0.0000 0.3075 0.4316  6 B 1.82-1.87
13 B 0.0000 0.0133 0.8948  3 B 1.65-1.78
14 B 0.0000 0.3075 0.0684  6 B 1.82-1.87
15 B 0.5000 0.3806 0.7500  4 B 1.74-1.75
16 B 0.0000 0.7824 0.8380  4 B 1.65-1.83
17 B 0.5000 0.3404 0.2026  4 B 1.75-1.79
18 B 0.5000 0.5083 0.4283  4 B 1.66-1.82
19 B 0.5000 0.8249 0.0772  4 B 1.71-1.78
20 B 0.5000 0.3404 0.2974  4 B 1.75-1.79
21 B 0.0000 0.9867 0.1052  3 B 1.65-1.78
22 B 0.5000 0.1751 0.5772  4 B 1.71-1.78
23 B 0.0000 0.6925 0.9316  6 B 1.82-1.87
24 B 0.0000 0.2176 0.3380  4 B 1.65-1.83
25 B 0.0000 0.2176 0.1620  4 B 1.65-1.83
26 B 0.5000 0.6596 0.7974  4 B 1.75-1.79
27 B 0.5000 0.1751 0.9228  4 B 1.71-1.78
28 B 0.0000 0.7824 0.6620  4 B 1.65-1.83
29 B 0.5000 0.4917 0.5717  4 B 1.66-1.82
30 B 0.5000 0.8249 0.4228  4 B 1.71-1.78
31 B 0.0000 0.7963 0.2500  2 B 1.74
32 B 0.0000 0.2037 0.7500  2 B 1.74
33 Co 0.5000 0.0416 0.8163  9 B 2.06-2.22
34 Co 0.5000 0.9584 0.1837  9 B 2.06-2.22
35 Co 0.5000 0.9584 0.3163  9 B 2.06-2.22
36 Co 0.0000 0.0000 0.0000  8 B 1.99-2.16
37 Co 0.0000 0.5799 0.1537  7 B 1.96-2.18
38 Co 0.5000 0.0416 0.6837  9 B 2.06-2.22
39 Co 0.0000 0.4201 0.6537  7 B 1.96-2.18
40 Co 0.0000 0.4201 0.8463  7 B 1.96-2.18
41 Co 0.0000 0.0000 0.5000  8 B 1.99-2.16
42 Co 0.0000 0.5799 0.3463  7 B 1.96-2.18

Calculated values
The size of the total moment is 0.000 μB per atom. Its calculated total energy is -416.3 eV per cell. The calculation puts the density of states at the Fermi level at 8.133 states/eV/cell. The value obtained for the energy relative to the elements is -0.131 eV/atom.

(9)
Below is a PBEsol-optimized structure of Co2B, with properties calculated at the SCAN level.

abc: 4.0442 4.0442 4.0442
angles: 105.47 105.47 117.80
With the nearest neighbours (Å) after each atom.
Element x y z (fractional)
1 Co 0.8334 0.3334 0.1667  4 B 2.10, 1 Co 2.31
2 Co 0.1666 0.6666 0.8333  4 B 2.10, 1 Co 2.31
3 Co 0.3334 0.1666 0.5000  4 B 2.10, 1 Co 2.31
4 Co 0.6666 0.8334 0.5000  4 B 2.10, 1 Co 2.31
5 B 0.7500 0.7500 0.0000  2 B 2.09, 8 Co 2.10
6 B 0.2500 0.2500 0.0000  2 B 2.09, 8 Co 2.10

Calculated values
The size of the total moment is 0.871 μB per atom. Its calculated total energy is -85.2 eV per cell. The calculation puts the density of states at the Fermi level at 2.961 states/eV/cell. The value obtained for the energy relative to the elements is -0.189 eV/atom.

(10)
Below is a PBEsol-optimized structure of Co23B6, with properties calculated at the SCAN level.

abc: 7.2533 7.2533 7.2533
angles: 60.00 60.00 60.00
With the nearest neighbours (Å) after each atom.
Element x y z (fractional)
1 Co 0.3373 0.0000 0.0000  2 B 2.06
2 Co 0.1394 0.6202 0.6202  3 B 2.04
3 Co 0.0000 0.0000 0.0000  12 Co 2.45
4 Co 0.3373 0.6627 0.0000  2 B 2.06
5 Co 0.0000 0.0000 0.6627  2 B 2.06
6 Co 0.0000 0.6627 0.3373  2 B 2.06
7 Co 0.3798 0.3798 0.3798  3 B 2.04
8 Co 0.8606 0.3798 0.3798  3 B 2.04
9 Co 0.3373 0.0000 0.6627  2 B 2.06
10 Co 0.6627 0.0000 0.3373  2 B 2.06
11 Co 0.6202 0.6202 0.1394  3 B 2.04
12 Co 0.6202 0.1394 0.6202  3 B 2.04
13 Co 0.0000 0.3373 0.0000  2 B 2.06
14 Co 0.3798 0.8606 0.3798  3 B 2.04
15 Co 0.7500 0.7500 0.7500  4 Co 2.31
16 Co 0.6202 0.6202 0.6202  3 B 2.04
17 Co 0.2500 0.2500 0.2500  4 Co 2.31
18 Co 0.0000 0.0000 0.3373  2 B 2.06
19 Co 0.3798 0.3798 0.8606  3 B 2.04
20 Co 0.6627 0.0000 0.0000  2 B 2.06
21 Co 0.0000 0.6627 0.0000  2 B 2.06
22 Co 0.6627 0.3373 0.0000  2 B 2.06
23 Co 0.0000 0.3373 0.6627  2 B 2.06
24 B 0.2768 0.7232 0.7232  8 Co 2.04-2.06
25 B 0.7232 0.2768 0.2768  8 Co 2.04-2.06
26 B 0.7232 0.2768 0.7232  8 Co 2.04-2.06
27 B 0.2768 0.7232 0.2768  8 Co 2.04-2.06
28 B 0.2768 0.2768 0.7232  8 Co 2.04-2.06
29 B 0.7232 0.7232 0.2768  8 Co 2.04-2.06

Calculated values
The size of the total moment is 1.131 μB per atom. Its calculated total energy is -444.9 eV per cell. The calculation puts the density of states at the Fermi level at 26.883 states/eV/cell. The value obtained for the energy relative to the elements is -0.080 eV/atom.

(11)
Below is a PBEsol-optimized structure of Cr2Co21B6, with properties calculated at the SCAN level.

abc: 7.2337 7.2337 7.2337
angles: 60.00 60.00 60.00
With the nearest neighbours (Å) after each atom.
Element x y z (fractional)
1 Cr 0.2500 0.2500 0.2500  4 Co 2.28
2 Cr 0.7500 0.7500 0.7500  4 Co 2.28
3 B 0.2763 0.7237 0.7237  8 Co 2.04-2.05
4 B 0.2763 0.2763 0.7237  8 Co 2.04-2.05
5 B 0.7237 0.7237 0.2763  8 Co 2.04-2.05
6 B 0.7237 0.2763 0.2763  8 Co 2.04-2.05
7 B 0.7237 0.2763 0.7237  8 Co 2.04-2.05
8 B 0.2763 0.7237 0.2763  8 Co 2.04-2.05
9 Co 0.6618 0.0000 0.3382  2 B 2.05
10 Co 0.6213 0.6213 0.6213  3 B 2.04, 1 Cr 2.28
11 Co 0.6213 0.6213 0.1360  3 B 2.04, 1 Cr 2.28
12 Co 0.0000 0.0000 0.3382  2 B 2.05
13 Co 0.3382 0.0000 0.0000  2 B 2.05
14 Co 0.0000 0.3382 0.6618  2 B 2.05
15 Co 0.6618 0.0000 0.0000  2 B 2.05
16 Co 0.8640 0.3787 0.3787  3 B 2.04, 1 Cr 2.28
17 Co 0.6618 0.3382 0.0000  2 B 2.05
18 Co 0.3382 0.0000 0.6618  2 B 2.05
19 Co 0.6213 0.1360 0.6213  3 B 2.04, 1 Cr 2.28
20 Co 0.3787 0.8640 0.3787  3 B 2.04, 1 Cr 2.28
21 Co 0.0000 0.0000 0.6618  2 B 2.05
22 Co 0.0000 0.0000 0.0000  12 Co 2.45
23 Co 0.0000 0.6618 0.3382  2 B 2.05
24 Co 0.3787 0.3787 0.8640  3 B 2.04, 1 Cr 2.28
25 Co 0.1360 0.6213 0.6213  3 B 2.04, 1 Cr 2.28
26 Co 0.3787 0.3787 0.3787  3 B 2.04, 1 Cr 2.28
27 Co 0.3382 0.6618 0.0000  2 B 2.05
28 Co 0.0000 0.6618 0.0000  2 B 2.05
29 Co 0.0000 0.3382 0.0000  2 B 2.05

Calculated values
The size of the total moment is 0.741 μB per atom. Its calculated total energy is -447.3 eV per cell. The calculation puts the density of states at the Fermi level at 25.376 states/eV/cell. The value obtained for the energy relative to the elements is -0.090 eV/atom.